## one
Entry from the Alexandria database: PdSe2NCl after structural relaxation (PBE).

```
PdSe2NCl
1.0
5.2968 0.0000 0.0000
0.0000 5.2968 0.0000
0.0000 0.0000 3.6605
Pd Se N Cl
1 2 1 1
Direct
0.0000 0.0000 0.0000
0.0000 0.5000 0.0000
0.5000 0.0000 0.0000
0.0000 0.0000 0.5000
0.5000 0.5000 0.5000
```

Output
SG = P4/mmm, No. 123
volume = 103 Å³/cell

***

## two
Entry from the Alexandria database: PdSe2NCl after structural relaxation (PBE).

```
PdSe2NCl
1.0
5.2031 0.0000 0.0000
0.0000 5.2031 0.0000
0.0000 0.0000 3.3075
Pd Se N Cl
1 2 1 1
Direct
0.0000 0.0000 0.0000
0.0000 0.5000 0.5000
0.5000 0.0000 0.5000
0.5000 0.5000 0.0000
0.5000 0.5000 0.5000
```

Output
SG = P4/mmm, No. 123
volume = 90 Å³/cell

***

So which one is most stable? That would be one, about 536 meV/atom below the next structure.